Crystalline Ac3IrRu at its relaxed geometry, computed with PBE-GGA.

Cell lengths 7.954, 7.506, 10.950 Å; angles 90.00, 94.51, 90.00 degrees
Space group P2_1/c (No. 14)
Inequivalent atoms, fractional coordinates:
Ac1 0.085 0.083 0.334
Ac2 0.246 0.582 0.500
Ac3 0.415 0.084 0.667
Ir1 0.414 0.250 0.421
Ru1 0.091 0.249 0.584

Excess energy over the best structure of this formula in the dataset   0.0 meV per atom
Formation energy   -0.344 eV/atom
Final energy   -6.4362 eV per atom
DOS(E_F)   2.78 states/eV/f.u.
Magnetization   0.000 μB per atom

***

Crystalline La2MoN3 at its relaxed geometry, computed with PBE-GGA.

Cell lengths 9.909, 6.705, 5.628 Å; angles 90.00, 90.16, 90.00 degrees
Space group C2/c (No. 15)
Inequivalent atoms, fractional coordinates:
La1 0.170 0.164 0.249
Mo1 0.000 0.410 0.750
N1 0.000 0.131 0.750
N2 0.155 0.499 0.500

Excess energy over the best structure of this formula in the dataset   219.6 meV per atom
Final energy   -8.4848 eV per atom
DOS(E_F)   3.14 states/eV/f.u.
Formation energy (no corrections)   -0.874 eV/atom
Magnetization   0.000 μB per atom

***

Crystalline Mn2InBiMo at its relaxed geometry, computed with PBE-GGA.

Cell lengths 4.969, 4.969, 5.302 Å; angles 90.00, 90.00, 90.00 degrees
Space group P4/mmm (No. 123)
Inequivalent atoms, fractional coordinates:
Mn1 0.000 0.500 0.000
In1 0.000 0.000 0.500
Bi1 0.500 0.500 0.500
Mo1 0.500 0.500 0.000

Formation energy   0.958 eV/atom
Final energy   -6.1996 eV per atom
DOS(E_F)   4.72 states/eV/f.u.
Magnetization   1.593 μB per atom

***

Q: DOS(E_F) of number 1 (Ac3IrRu)?
A: 2.78 states/eV/f.u.

***

Q: Which of these has the lowest final energy?
A: La2MoN3

***

Repeat the first record exactly.
Crystalline Ac3IrRu at its relaxed geometry, computed with PBE-GGA.

Cell lengths 7.954, 7.506, 10.950 Å; angles 90.00, 94.51, 90.00 degrees
Space group P2_1/c (No. 14)
Inequivalent atoms, fractional coordinates:
Ac1 0.085 0.083 0.334
Ac2 0.246 0.582 0.500
Ac3 0.415 0.084 0.667
Ir1 0.414 0.250 0.421
Ru1 0.091 0.249 0.584

Excess energy over the best structure of this formula in the dataset   0.0 meV per atom
Formation energy   -0.344 eV/atom
Final energy   -6.4362 eV per atom
DOS(E_F)   2.78 states/eV/f.u.
Magnetization   0.000 μB per atom